First-principles (PBE) data for an optimized crystal structure of FeCoAu2, as listed in Alexandria.

a b c (Å): 5.658 5.658 5.658
angles (deg): 102.66 102.66 124.17
Atoms (fractional coordinates):
Fe (0.000, 0.000, 0.000)
Fe (0.750, 0.250, 0.500)
Co (0.250, 0.750, 0.500)
Co (0.500, 0.500, 0.000)
Au (0.130, 0.625, 0.005)
Au (0.375, 0.380, 0.505)
Au (0.620, 0.125, 0.995)
Au (0.875, 0.870, 0.495)

Results
DFT total energy: -0.3675 Ry per atom
space group: I-42d
offset from the most stable computed form: 441 meV/atom
density: 12.76 g cm⁻³